No. 1
Th6PC3N2: optimized geometry, PBE-GGA.

The uncorrected formation energy comes out at -0.873 eV per atom. As for the volume: 19.79 Å³/atom. Its space group is No. 12. Its uncorrected energy is -8.728 eV per atom. The crystal system is monoclinic. Its theoretical density is 10.400 g/cm3.

Cell: 3.811 7.658 8.580 Å, 103.07 102.83 90.00°
Sites, in units of the cell vectors:
N  0.825  0.658  0.649
N  0.175  0.342  0.351
P  0.500  0.000  0.000
Th  0.331  0.418  0.663
Th  0.001  0.729  0.002
Th  0.325  0.912  0.651
Th  0.999  0.271  0.998
Th  0.675  0.088  0.349
Th  0.669  0.582  0.337
C  0.169  0.829  0.339
C  0.500  0.500  0.000
C  0.831  0.171  0.661

=====

No. 2
Rb2ScGaS4: optimized geometry, PBE-GGA.

The uncorrected formation energy comes out at -1.092 eV per atom. As for the volume: 24.08 Å³/atom. Its space group is No. 15. Its uncorrected energy is -4.567 eV per atom. The crystal system is monoclinic. Its theoretical density is 3.568 g/cm3.

Cell: 8.181 8.181 8.150 Å, 119.79 119.79 90.85°
Sites, in units of the cell vectors:
Rb  0.000  0.000  0.500
Rb  0.500  0.000  0.000
Rb  0.500  0.500  0.000
Rb  0.500  0.000  0.500
S  0.771  0.732  0.953
S  0.187  0.730  0.958
S  0.770  0.313  0.542
S  0.813  0.270  0.042
S  0.768  0.729  0.547
S  0.229  0.268  0.047
S  0.230  0.687  0.458
S  0.232  0.271  0.453
Sc  0.000  0.500  0.500
Sc  0.000  0.500  0.000
Ga  0.500  0.500  0.500
Ga  0.000  0.000  0.000

=====

No. 3
CaSc2Ru: optimized geometry, PBE-GGA.

As for the volume: 21.17 Å³/atom. Its space group is No. 216. Its uncorrected energy is -5.835 eV per atom. The crystal system is cubic. Its theoretical density is 4.532 g/cm3.

Cell: 4.929 4.929 4.929 Å, 60.00 60.00 60.00°
Sites, in units of the cell vectors:
Ru  0.250  0.250  0.250
Ca  0.500  0.500  0.500
Sc  0.750  0.750  0.750
Sc  0.000  0.000  0.000

=====

No. 4
TiZn5Cu2: optimized geometry, PBE-GGA.

As for the volume: 15.36 Å³/atom. Its space group is No. 63. Its uncorrected energy is -2.760 eV per atom. The crystal system is orthorhombic. Its theoretical density is 6.782 g/cm3.

Cell: 4.289 4.289 15.418 Å, 90.00 90.00 119.94°
Sites, in units of the cell vectors:
Zn  0.645  0.355  0.939
Zn  0.645  0.355  0.561
Zn  0.977  0.023  0.653
Zn  0.023  0.977  0.347
Zn  0.355  0.645  0.439
Zn  0.311  0.689  0.750
Zn  0.977  0.023  0.847
Zn  0.023  0.977  0.153
Zn  0.355  0.645  0.061
Zn  0.689  0.311  0.250
Cu  0.689  0.311  0.098
Cu  0.311  0.689  0.902
Cu  0.689  0.311  0.402
Cu  0.311  0.689  0.598
Ti  0.355  0.645  0.250
Ti  0.645  0.355  0.750